CeSi2 | the Alexandria database | PBE | optimized geometry; calculated total energy = -6.03 eV per atom; symmetry = No. 227
1.0
0.000 3.775 3.775
3.775 0.000 3.775
3.775 3.775 0.000
Ce Si
2 4
Cartesian
0.944 0.944 0.944
6.607 6.607 6.607
3.775 1.888 1.888
1.888 3.775 1.888
1.888 1.888 3.775
3.775 3.775 3.775


BaSnHgS4 | the Alexandria database | PBE | optimized geometry; calculated total energy = -4.11 eV per atom; symmetry = No. 40
1.0
11.090 0.000 0.000
0.000 5.506 3.368
0.000 -5.506 3.368
Ba Sn Hg S
2 2 2 8
Cartesian
0.000 0.000 0.000
5.545 0.000 0.000
2.772 2.341 3.292
8.317 -2.341 3.292
2.772 -1.860 3.024
8.317 1.860 3.024
0.904 2.595 4.833
2.772 0.588 1.680
2.772 -1.068 5.364
4.641 2.595 4.833
6.449 -2.595 4.833
8.317 -0.588 1.680
8.317 1.068 5.364
10.186 -2.595 4.833


MnCrCuTeAu | the Alexandria database | PBE | optimized geometry; E above lowest polymorph = 16.0 kJ/mol of atoms; symmetry = No. 38
1.0
3.783 0.000 0.000
0.000 1.856 7.131
0.000 -1.856 7.131
Mn Cr Cu Te Au
1 1 1 1 1
Cartesian
0.000 0.000 0.000
0.000 0.000 3.938
0.000 0.000 9.070
1.892 0.000 5.951
1.892 0.000 2.012


La3Nd5Ho2 | the Alexandria database | PBE | optimized geometry; ΔE_f = 0.164 eV/atom; symmetry = No. 15
1.0
5.533 -7.481 0.000
5.533 7.481 0.000
-5.475 0.000 8.506
La Nd Ho
6 10 4
Cartesian
1.349 1.890 0.484
1.426 4.097 6.379
-1.389 -1.890 4.737
6.979 1.890 3.768
4.164 -4.097 2.126
4.242 -1.890 8.021
1.426 7.222 6.379
-1.291 1.828 6.535
4.164 3.433 2.126
1.447 -1.828 2.282
4.164 0.366 2.126
1.426 -0.366 6.379
4.144 1.828 6.224
1.426 -3.433 6.379
6.881 -1.828 1.971
4.164 -7.222 2.126
1.364 1.842 3.805
-1.373 -1.842 8.058
6.963 1.842 0.448
4.226 -1.842 4.701


Rb3PaPb2O9 | the Alexandria database | PBE | optimized geometry; calculated total energy = -5.88 eV per atom; symmetry = No. 164
1.0
6.195 0.000 0.000
-3.098 5.365 0.000
0.000 0.000 7.619
Rb Pa Pb O
3 1 2 9
Cartesian
0.000 0.000 0.000
0.000 3.577 5.133
3.098 1.788 2.485
0.000 0.000 3.809
0.000 3.577 1.320
3.098 1.788 6.299
-1.549 2.683 0.000
0.000 1.756 2.556
-1.577 4.487 2.556
1.521 0.878 5.062
3.098 0.000 0.000
1.549 2.683 0.000
1.577 4.487 2.556
4.674 0.878 5.062
3.098 3.609 5.062


CaLaGa | the Alexandria database | PBE | optimized geometry; E above lowest polymorph = 0.0 kJ/mol of atoms; ΔE_f = -0.444 eV/atom; symmetry = No. 194
1.0
5.386 0.000 0.000
-2.693 4.664 0.000
0.000 0.000 6.915
Ca La Ga
2 2 2
Cartesian
0.000 0.000 0.000
0.000 0.000 3.458
0.000 3.110 1.729
2.693 1.555 5.187
0.000 3.110 5.187
2.693 1.555 1.729


BaNaW3 | the Alexandria database | PBE | optimized geometry; E above lowest polymorph = 0.0 kJ/mol of atoms; ΔE_f = 3.074 eV/atom; symmetry = No. 221
1.0
4.923 0.000 0.000
0.000 4.923 0.000
0.000 0.000 4.923
Ba Na W
1 1 3
Cartesian
0.000 0.000 0.000
2.461 2.461 2.461
0.000 2.461 2.461
2.461 0.000 2.461
2.461 2.461 0.000


Zr2In3 | the Alexandria database | PBE | optimized geometry; ΔE_f = 0.024 eV/atom; symmetry = No. 141
1.0
-3.431 3.431 10.339
3.431 -3.431 10.339
3.431 3.431 -10.339
Zr In
8 12
Cartesian
1.845 1.715 -1.788
5.017 1.715 -1.788
0.000 0.130 3.382
3.431 0.130 6.957
0.000 3.301 3.382
3.431 3.301 6.957
-1.586 1.715 12.126
1.586 1.715 12.126
0.000 0.000 0.000
1.715 1.715 -5.169
1.715 -1.715 5.169
3.431 0.228 3.709
1.943 1.715 1.461
4.918 1.715 1.461
0.000 0.228 6.630
0.000 3.431 0.000
3.431 3.203 3.709
-1.487 1.715 8.878
1.487 1.715 8.878
0.000 3.203 6.630


V2ZnC | the Alexandria database | PBE | optimized geometry; E above lowest polymorph = 26.2 kJ/mol of atoms; ΔE_f = -0.077 eV/atom; symmetry = No. 187
1.0
2.868 0.000 0.000
-1.434 2.484 0.000
0.000 0.000 6.883
V Zn C
2 1 1
Cartesian
0.000 0.000 1.230
0.000 0.000 5.654
0.000 1.656 3.442
1.434 0.828 0.000


Cd2SnHBr | the Alexandria database | PBE | optimized geometry; calculated total energy = -2.22 eV per atom; symmetry = No. 123
1.0
5.607 0.000 0.000
0.000 5.607 0.000
0.000 0.000 3.960
Cd Sn H Br
2 1 1 1
Cartesian
0.000 2.803 0.000
2.803 0.000 0.000
0.000 0.000 0.000
0.000 0.000 1.980
2.803 2.803 1.980


K4CaMg3H12 | the Alexandria database | PBE | optimized geometry; calculated total energy = -2.87 eV per atom; symmetry = No. 229
1.0
-4.103 4.103 4.103
4.103 -4.103 4.103
4.103 4.103 -4.103
K Ca Mg H
4 1 3 12
Cartesian
2.052 2.052 -2.052
2.052 -2.052 2.052
-2.052 2.052 2.052
2.052 2.052 2.052
0.000 0.000 0.000
4.103 0.000 0.000
0.000 4.103 0.000
0.000 0.000 4.103
2.183 0.000 0.000
6.023 0.000 0.000
4.103 2.052 0.000
4.103 0.000 2.052
0.000 2.183 0.000
0.000 0.000 2.183
2.052 4.103 0.000
2.052 0.000 4.103
0.000 6.023 0.000
0.000 0.000 6.023
0.000 4.103 2.052
0.000 2.052 4.103


Na4LiEu | the Alexandria database | PBE | optimized geometry; ΔE_f = 0.123 eV/atom; symmetry = No. 216
1.0
0.000 4.794 4.794
4.794 0.000 4.794
4.794 4.794 0.000
Na Li Eu
4 1 1
Cartesian
3.601 3.601 3.601
5.988 5.988 3.601
5.988 3.601 5.988
3.601 5.988 5.988
7.192 7.192 7.192
0.000 0.000 0.000


Te2RhW | the Alexandria database | PBE | optimized geometry; E above lowest polymorph = 29.6 kJ/mol of atoms; symmetry = No. 166
1.0
1.696 0.979 8.850
-1.696 0.979 8.850
0.000 -1.959 8.850
Te Rh W
2 1 1
Cartesian
0.000 0.000 2.522
0.000 0.000 24.028
0.000 0.000 0.000
0.000 0.000 13.275


KIr4S8 | the Alexandria database | PBE | optimized geometry; calculated total energy = -5.87 eV per atom; symmetry = No. 8
1.0
7.725 -1.817 0.000
7.725 1.817 0.000
-6.595 0.000 8.753
K Ir S
1 4 8
Cartesian
0.000 0.000 0.000
-1.015 0.000 4.070
4.083 0.000 1.576
4.766 0.000 7.169
9.864 0.000 4.675
-4.365 0.000 6.655
-1.657 0.000 8.058
0.826 0.000 5.624
3.300 0.000 3.752
5.548 0.000 4.994
8.022 0.000 3.122
10.506 0.000 0.687
13.214 0.000 2.091


BaBe2MoRu | the Alexandria database | PBE | optimized geometry; ΔE_f = 2.849 eV/atom; symmetry = No. 123
1.0
4.642 0.000 0.000
0.000 4.642 0.000
0.000 0.000 4.874
Ba Be Mo Ru
1 2 1 1
Cartesian
0.000 0.000 0.000
0.000 2.321 0.000
2.321 0.000 0.000
2.321 2.321 2.437
0.000 0.000 2.437


Ba4Hf3AgO12 | the Alexandria database | PBE | optimized geometry; calculated total energy = -7.75 eV per atom; symmetry = No. 229
1.0
-4.199 4.199 4.199
4.199 -4.199 4.199
4.199 4.199 -4.199
Ba Hf Ag O
4 3 1 12
Cartesian
2.100 2.100 -2.100
2.100 -2.100 2.100
-2.100 2.100 2.100
2.100 2.100 2.100
4.199 0.000 0.000
0.000 4.199 0.000
0.000 0.000 4.199
0.000 0.000 0.000
2.139 0.000 0.000
6.259 0.000 0.000
4.199 2.100 0.000
4.199 0.000 2.100
0.000 2.139 0.000
0.000 0.000 2.139
2.100 4.199 0.000
2.100 0.000 4.199
0.000 6.259 0.000
0.000 0.000 6.259
0.000 4.199 2.100
0.000 2.100 4.199


LaS2NCl | the Alexandria database | PBE | optimized geometry; E above lowest polymorph = 0.0 kJ/mol of atoms; symmetry = No. 123
1.0
4.537 0.000 0.000
0.000 4.537 0.000
0.000 0.000 4.286
La S N Cl
1 2 1 1
Cartesian
0.000 0.000 0.000
0.000 2.269 2.143
2.269 0.000 2.143
2.269 2.269 2.143
2.269 2.269 0.000


La2ZnPt2 | the Alexandria database | PBE | optimized geometry; ΔE_f = -0.955 eV/atom; symmetry = No. 72
1.0
-3.576 5.779 3.048
3.576 -5.779 3.048
3.576 5.779 -3.048
La Zn Pt
4 2 4
Cartesian
1.222 1.665 0.000
1.222 -1.665 3.048
2.354 7.444 0.000
2.354 4.114 3.048
3.576 0.000 1.524
0.000 5.779 1.524
5.340 1.284 0.000
1.764 4.496 0.000
1.812 1.284 3.048
-1.764 4.496 3.048


Pr2ErGe3Pt4 | the Alexandria database | PBE | optimized geometry; ΔE_f = -0.977 eV/atom; symmetry = No. 115
1.0
4.348 0.000 0.000
0.000 4.348 0.000
0.000 0.000 11.049
Pr Er Ge Pt
2 1 3 4
Cartesian
0.000 2.174 2.483
2.174 0.000 8.566
0.000 0.000 5.525
0.000 2.174 9.700
2.174 0.000 1.349
2.174 2.174 5.525
0.000 0.000 0.000
0.000 2.174 7.223
2.174 0.000 3.826
2.174 2.174 0.000


NbTeIrN2 | the Alexandria database | PBE | optimized geometry; E above lowest polymorph = 0.0 kJ/mol of atoms; symmetry = No. 123
1.0
3.954 0.000 0.000
0.000 3.954 0.000
0.000 0.000 6.064
Nb Te Ir N
1 1 1 2
Cartesian
0.000 0.000 0.000
0.000 0.000 3.032
1.977 1.977 3.032
0.000 1.977 0.000
1.977 0.000 0.000


RhPbSe2 | the Alexandria database | PBE | optimized geometry; calculated total energy = -4.23 eV per atom; symmetry = No. 119
1.0
-2.112 2.112 4.755
2.112 -2.112 4.755
2.112 2.112 -4.755
Rh Pb Se
1 1 2
Cartesian
0.000 0.000 0.000
0.000 2.112 2.377
2.112 0.000 2.377
0.000 0.000 4.755


ZnReSb4 | the Alexandria database | PBE | optimized geometry; calculated total energy = -3.83 eV per atom; symmetry = No. 216
1.0
0.000 4.329 4.329
4.329 0.000 4.329
4.329 4.329 0.000
Zn Re Sb
1 1 4
Cartesian
0.000 0.000 0.000
6.494 6.494 6.494
3.243 3.243 3.243
5.415 5.415 3.243
5.415 3.243 5.415
3.243 5.415 5.415


TlPOF2 | the Alexandria database | PBE | optimized geometry; E above lowest polymorph = 97.4 kJ/mol of atoms; symmetry = No. 123
1.0
4.448 0.000 0.000
0.000 4.448 0.000
0.000 0.000 4.350
Tl P O F
1 1 1 2
Cartesian
0.000 0.000 0.000
2.224 2.224 2.175
0.000 0.000 2.175
0.000 2.224 0.000
2.224 0.000 0.000